No. 1
CeZrPt4 (GGA-PBE, optimized geometry); crystal system = cubic; spin magnetization = 0.47 μB per formula unit; DOS at the Fermi energy = 1.16 states/eV/atom; formation energy = -0.871 eV per atom
1.0
-5.3800 0.3648 -0.4345
-3.1808 -2.9859 3.1990
-2.8763 2.3666 3.9233
Pt Zr Ce
4 1 1
Direct
0.6246 0.6246 0.1262 Pt
0.1262 0.6246 0.6246 Pt
0.6246 0.1262 0.6246 Pt
0.6246 0.6246 0.6246 Pt
0.2500 0.2500 0.2500 Zr
0.0000 0.0000 0.0000 Ce

***

No. 2
Mg6CdBi (GGA-PBE, optimized geometry); crystal system = orthorhombic; spin magnetization = 0.00 μB per formula unit; DOS at the Fermi energy = 0.43 states/eV/atom; formation energy = -0.046 eV per atom
1.0
3.2434 -5.7272 0.0000
3.2434 5.7272 0.0000
0.0000 0.0000 5.1323
Mg Bi Cd
6 1 1
Direct
0.6699 0.3301 0.0000 Mg
0.8426 0.6593 0.5000 Mg
0.6731 0.8420 0.0000 Mg
0.8341 0.1659 0.5000 Mg
0.1580 0.3269 0.0000 Mg
0.3407 0.1574 0.5000 Mg
0.3440 0.6560 0.5000 Bi
0.1377 0.8623 0.0000 Cd

***

No. 3
ZnIr2Os (GGA-PBE, optimized geometry); crystal system = orthorhombic; spin magnetization = 0.00 μB per formula unit; DOS at the Fermi energy = 1.12 states/eV/atom; formation energy = 0.107 eV per atom
1.0
2.7580 0.0000 0.0000
0.0000 3.8268 0.0000
0.0000 0.0000 5.4566
Zn Ir Os
1 2 1
Direct
0.5000 0.5000 0.7582 Zn
0.0000 0.0000 0.9866 Ir
0.5000 0.5000 0.2656 Ir
0.0000 0.0000 0.4895 Os

***

No. 4
RhBrCl (GGA-PBE, optimized geometry); crystal system = trigonal; spin magnetization = 1.01 μB per formula unit; formation energy (no corrections) = -199 meV per atom; DOS at the Fermi energy = 1.17 states/eV/atom
1.0
3.7349 0.0000 0.0000
-1.8675 3.2346 0.0000
0.0000 0.0000 5.9702
Br Rh Cl
1 1 1
Direct
0.0000 0.0000 0.8935 Br
0.6667 0.3333 0.6600 Rh
0.3333 0.6667 0.4466 Cl

***

- Which of these has the lowest DOS at the Fermi energy?
  Mg6CdBi